NbNi2Mo | PBE | relaxed

Cell lengths 3.812, 3.812, 3.808 Å; angles 90.00, 90.00, 90.00 degrees
Element x y z (fractional)
Nb: 0.000 0.000 0.000
Ni: 0.000 0.500 0.500
Ni: 0.500 0.000 0.500
Mo: 0.500 0.500 0.000

Values from the calculation:
**Space group**: P4/mmm, No. 123
**Crystal system**: tetragonal
**Calculated volume**: 13.835 A^3/atom
**Formation energy**: -0.100 eV per atom
**Total magnetization**: 0.000 μB per cell